1.
# Y2InH3 (PBE-GGA, optimized geometry)
# magnetic moment	0.000	μB/atom
# calculated volume	15.353	Å³/atom
# uncorrected energy	-0.359	Ry/atom
data_Y2InH3
_chemical_formula_sum 'Y8 In4 H12'
_space_group_name_H-M_alt 'C 1 2/m 1'
_space_group_IT_number 12
_cell_length_a 12.6504
_cell_length_b 3.6652
_cell_length_c 8.4767
_cell_angle_alpha 90.00
_cell_angle_beta 110.36
_cell_angle_gamma 90.00
loop_
_space_group_symop_operation_xyz
'x,y,z'
'-x,-y,-z'
'-x,y,-z'
'x,-y,z'
'x+1/2,y+1/2,z'
'-x+1/2,-y+1/2,-z'
'-x+1/2,y+1/2,-z'
'x+1/2,-y+1/2,z'
loop_
_atom_site_label
_atom_site_fract_x
_atom_site_fract_y
_atom_site_fract_z
Y1 0.0202 0.0000 0.2250
Y2 0.1664 0.5000 0.6168
In1 0.1667 0.5000 0.0509
H1 0.0181 0.5000 0.3688
H2 0.1076 0.0000 0.6738
H3 0.1760 0.0000 0.4530

---

2.
# YInH (PBE-GGA, optimized geometry)
# magnetic moment	0.000	μB/atom
# calculated volume	19.107	Å³/atom
# E above lowest polymorph	8	meV/atom
data_YInH
_chemical_formula_sum 'Y2 In2 H2'
_space_group_name_H-M_alt 'P 4/n m m'
_space_group_IT_number 129
_cell_length_a 4.0163
_cell_length_b 4.0163
_cell_length_c 7.1072
_cell_angle_alpha 90.00
_cell_angle_beta 90.00
_cell_angle_gamma 90.00
loop_
_space_group_symop_operation_xyz
'x,y,z'
'-x,-y,-z'
'-y+1/2,x,z'
'y+1/2,-x,-z'
'-x+1/2,-y+1/2,z'
'x+1/2,y+1/2,-z'
'y,-x+1/2,z'
'-y,x+1/2,-z'
'x+1/2,-y,-z'
'-x+1/2,y,z'
'-y,-x,-z'
'y,x,z'
'-x,y+1/2,-z'
'x,-y+1/2,z'
'y+1/2,x+1/2,-z'
'-y+1/2,-x+1/2,z'
loop_
_atom_site_label
_atom_site_fract_x
_atom_site_fract_y
_atom_site_fract_z
Y1 0.2500 0.2500 0.1409
In1 0.2500 0.2500 0.5957
H1 0.2500 0.7500 0.0000

---

3.
# Y2InH (PBE-GGA, optimized geometry)
# magnetic moment	0.000	μB/atom
# calculated volume	22.795	Å³/atom
# E above lowest polymorph	11	meV/atom
data_Y2InH
_chemical_formula_sum 'Y8 In4 H4'
_space_group_name_H-M_alt 'I m m m'
_space_group_IT_number 71
_space_group_name_Hall '-I 2 2'
_cell_length_a 4.3253
_cell_length_b 6.7692
_cell_length_c 12.4569
_cell_angle_alpha 90.00
_cell_angle_beta 90.00
_cell_angle_gamma 90.00
loop_
_atom_site_label
_atom_site_fract_x
_atom_site_fract_y
_atom_site_fract_z
Y1 0.0000 0.0000 0.1975
Y2 0.0000 0.2562 0.5000
In1 0.0000 0.5000 0.1235
H1 0.0000 0.5000 0.3785

---

4.
# Y3InH (PBE-GGA, optimized geometry)
# magnetic moment	0.000	μB/atom
# calculated volume	24.298	Å³/atom
# uncorrected energy	-0.395	Ry/atom
data_Y3InH
_chemical_formula_sum 'Y24 In8 H8'
_space_group_name_H-M_alt 'C m c e'
_space_group_IT_number 64
_space_group_name_Hall '-C 2ac 2'
_cell_length_a 10.2398
_cell_length_b 14.2814
_cell_length_c 6.6461
_cell_angle_alpha 90.00
_cell_angle_beta 90.00
_cell_angle_gamma 90.00
loop_
_atom_site_label
_atom_site_fract_x
_atom_site_fract_y
_atom_site_fract_z
Y1 0.0000 0.0405 0.2474
Y2 0.0000 0.2426 0.5107
Y3 0.2500 0.1084 0.7500
In1 0.2500 0.1637 0.2500
H1 0.0000 0.0876 0.5691

---

5.
# YIn2H (PBE-GGA, optimized geometry)
# magnetic moment	0.000	μB/atom
# calculated volume	22.446	Å³/atom
# E above lowest polymorph	0	meV/atom
data_YIn2H
_chemical_formula_sum 'Y4 In8 H4'
_space_group_name_H-M_alt 'I -4 2 d'
_space_group_IT_number 122
_space_group_name_Hall 'I -4 2bw'
_cell_length_a 6.5325
_cell_length_b 6.5325
_cell_length_c 8.4160
_cell_angle_alpha 90.00
_cell_angle_beta 90.00
_cell_angle_gamma 90.00
loop_
_atom_site_label
_atom_site_fract_x
_atom_site_fract_y
_atom_site_fract_z
Y1 0.0000 0.0000 0.0000
In1 0.1113 0.2500 0.6250
H1 0.0000 0.0000 0.5000

---

6.
# YZnInH2 (PBE-GGA, optimized geometry)
# magnetic moment	0.000	μB/atom
# calculated volume	18.138	Å³/atom
# uncorrected energy	-0.224	Ry/atom
data_YZnInH2
_chemical_formula_sum 'Y1 Zn1 In1 H2'
_space_group_name_H-M_alt 'P 4/m m m'
_space_group_IT_number 123
_space_group_name_Hall '-P 4 2'
_cell_length_a 4.1746
_cell_length_b 4.1746
_cell_length_c 5.2041
_cell_angle_alpha 90.00
_cell_angle_beta 90.00
_cell_angle_gamma 90.00
loop_
_atom_site_label
_atom_site_fract_x
_atom_site_fract_y
_atom_site_fract_z
Y1 0.0000 0.0000 0.0000
Zn1 0.5000 0.5000 0.5000
In1 0.5000 0.5000 0.0000
H1 0.0000 0.5000 0.5000

---

7.
# ZnIn3H (PBE-GGA, optimized geometry)
# magnetic moment	0.000	μB/atom
# calculated volume	28.483	Å³/atom
# E above lowest polymorph	330	meV/atom
data_ZnIn3H
_chemical_formula_sum 'Zn1 In3 H1'
_space_group_name_H-M_alt 'P m -3 m'
_space_group_IT_number 221
_space_group_name_Hall '-P 4 2 3'
_cell_length_a 5.2222
_cell_length_b 5.2222
_cell_length_c 5.2222
_cell_angle_alpha 90.00
_cell_angle_beta 90.00
_cell_angle_gamma 90.00
loop_
_atom_site_label
_atom_site_fract_x
_atom_site_fract_y
_atom_site_fract_z
Zn1 0.0000 0.0000 0.0000
In1 0.0000 0.0000 0.5000
H1 0.5000 0.5000 0.5000

---

8.
# ZnIn2H2 (PBE-GGA, optimized geometry)
# magnetic moment	0.000	μB/atom
# calculated volume	16.205	Å³/atom
# E above lowest polymorph	0	meV/atom
data_ZnIn2H2
_chemical_formula_sum 'Zn2 In4 H4'
_space_group_name_H-M_alt 'I 4/m m m'
_space_group_IT_number 139
_space_group_name_Hall '-I 4 2'
_cell_length_a 3.5164
_cell_length_b 3.5164
_cell_length_c 13.1055
_cell_angle_alpha 90.00
_cell_angle_beta 90.00
_cell_angle_gamma 90.00
loop_
_atom_site_label
_atom_site_fract_x
_atom_site_fract_y
_atom_site_fract_z
Zn1 0.0000 0.0000 0.0000
In1 0.0000 0.0000 0.3578
H1 0.0000 0.5000 0.2500

---

9.
# ZnIn2H2 (PBE-GGA, optimized geometry)
# magnetic moment	0.000	μB/atom
# calculated volume	15.586	Å³/atom
# E above lowest polymorph	142	meV/atom
data_ZnIn2H2
_chemical_formula_sum 'Zn2 In4 H4'
_space_group_name_H-M_alt 'P 4/m b m'
_space_group_IT_number 127
_space_group_name_Hall '-P 4 2ab'
_cell_length_a 7.1990
_cell_length_b 7.1990
_cell_length_c 3.0075
_cell_angle_alpha 90.00
_cell_angle_beta 90.00
_cell_angle_gamma 90.00
loop_
_atom_site_label
_atom_site_fract_x
_atom_site_fract_y
_atom_site_fract_z
Zn1 0.0000 0.0000 0.0000
In1 0.1524 0.3476 0.5000
H1 0.1144 0.6144 0.0000

---

10.
# ZnInH3 (PBE-GGA, optimized geometry)
# magnetic moment	0.000	μB/atom
# calculated volume	12.849	Å³/atom
# E above lowest polymorph	147	meV/atom
data_ZnInH3
_chemical_formula_sum 'Zn1 In1 H3'
_space_group_name_H-M_alt 'P m -3 m'
_space_group_IT_number 221
_space_group_name_Hall '-P 4 2 3'
_cell_length_a 4.0051
_cell_length_b 4.0051
_cell_length_c 4.0051
_cell_angle_alpha 90.00
_cell_angle_beta 90.00
_cell_angle_gamma 90.00
loop_
_atom_site_label
_atom_site_fract_x
_atom_site_fract_y
_atom_site_fract_z
Zn1 0.0000 0.0000 0.0000
In1 0.5000 0.5000 0.5000
H1 0.0000 0.5000 0.5000

---

11.
# ZnInH2 (PBE-GGA, optimized geometry)
# magnetic moment	0.000	μB/atom
# calculated volume	12.789	Å³/atom
# E above lowest polymorph	344	meV/atom
data_ZnInH2
_chemical_formula_sum 'Zn4 In4 H8'
_space_group_name_H-M_alt 'F m -3 m'
_space_group_IT_number 225
_space_group_name_Hall '-F 4 2 3'
_cell_length_a 5.8928
_cell_length_b 5.8928
_cell_length_c 5.8928
_cell_angle_alpha 90.00
_cell_angle_beta 90.00
_cell_angle_gamma 90.00
loop_
_atom_site_label
_atom_site_fract_x
_atom_site_fract_y
_atom_site_fract_z
Zn1 0.0000 0.0000 0.0000
In1 0.0000 0.0000 0.5000
H1 0.2500 0.2500 0.2500

---

12.
# ZnIn2H4 (PBE-GGA, optimized geometry)
# magnetic moment	0.000	μB/atom
# calculated volume	13.023	Å³/atom
# uncorrected energy	-0.186	Ry/atom
data_ZnIn2H4
_chemical_formula_sum 'Zn2 In4 H8'
_space_group_name_H-M_alt 'I 4/m m m'
_space_group_IT_number 139
_space_group_name_Hall '-I 4 2'
_cell_length_a 3.5801
_cell_length_b 3.5801
_cell_length_c 14.2252
_cell_angle_alpha 90.00
_cell_angle_beta 90.00
_cell_angle_gamma 90.00
loop_
_atom_site_label
_atom_site_fract_x
_atom_site_fract_y
_atom_site_fract_z
Zn1 0.0000 0.0000 0.0000
In1 0.0000 0.0000 0.3387
H1 0.0000 0.0000 0.1264
H2 0.0000 0.5000 0.0000

---

13.
# Zn3In12H5 (PBE-GGA, optimized geometry)
# magnetic moment	0.000	μB/atom
# calculated volume	20.771	Å³/atom
# uncorrected energy	-0.177	Ry/atom
data_Zn3In12H5
_chemical_formula_sum 'Zn24 In96 H40'
_space_group_name_H-M_alt 'I a -3 d'
_space_group_IT_number 230
_space_group_name_Hall '-I 4bd 2c 3'
_cell_length_a 14.9232
_cell_length_b 14.9232
_cell_length_c 14.9232
_cell_angle_alpha 90.00
_cell_angle_beta 90.00
_cell_angle_gamma 90.00
loop_
_atom_site_label
_atom_site_fract_x
_atom_site_fract_y
_atom_site_fract_z
Zn1 0.0000 0.2500 0.1250
In1 0.0368 0.0581 0.6475
H1 0.0000 0.0000 0.0000
H2 0.0000 0.2500 0.3750

---

14.
# ZnIn3H (PBE-GGA, optimized geometry)
# magnetic moment	0.000	μB/atom
# calculated volume	20.704	Å³/atom
# E above lowest polymorph	0	meV/atom
data_ZnIn3H
_chemical_formula_sum 'Zn1 In3 H1'
_space_group_name_H-M_alt 'P m -3 m'
_space_group_IT_number 221
_space_group_name_Hall '-P 4 2 3'
_cell_length_a 4.6954
_cell_length_b 4.6954
_cell_length_c 4.6954
_cell_angle_alpha 90.00
_cell_angle_beta 90.00
_cell_angle_gamma 90.00
loop_
_atom_site_label
_atom_site_fract_x
_atom_site_fract_y
_atom_site_fract_z
Zn1 0.0000 0.0000 0.0000
In1 0.0000 0.5000 0.5000
H1 0.5000 0.5000 0.5000

---

15.
# Zn2In2H (PBE-GGA, optimized geometry)
# magnetic moment	0.000	μB/atom
# calculated volume	20.304	Å³/atom
# uncorrected energy	-0.134	Ry/atom
data_Zn2In2H
_chemical_formula_sum 'Zn4 In4 H2'
_space_group_name_H-M_alt 'P 4/m b m'
_space_group_IT_number 127
_space_group_name_Hall '-P 4 2ab'
_cell_length_a 7.5368
_cell_length_b 7.5368
_cell_length_c 3.5744
_cell_angle_alpha 90.00
_cell_angle_beta 90.00
_cell_angle_gamma 90.00
loop_
_atom_site_label
_atom_site_fract_x
_atom_site_fract_y
_atom_site_fract_z
Zn1 0.1186 0.3814 0.0000
In1 0.1869 0.6869 0.5000
H1 0.0000 0.0000 0.0000

---

16.
# Zn2InH2 (PBE-GGA, optimized geometry)
# magnetic moment	0.000	μB/atom
# calculated volume	13.387	Å³/atom
# E above lowest polymorph	0	meV/atom
data_Zn2InH2
_chemical_formula_sum 'Zn4 In2 H4'
_space_group_name_H-M_alt 'I 4/m m m'
_space_group_IT_number 139
_space_group_name_Hall '-I 4 2'
_cell_length_a 3.2587
_cell_length_b 3.2587
_cell_length_c 12.6064
_cell_angle_alpha 90.00
_cell_angle_beta 90.00
_cell_angle_gamma 90.00
loop_
_atom_site_label
_atom_site_fract_x
_atom_site_fract_y
_atom_site_fract_z
Zn1 0.0000 0.0000 0.1626
In1 0.0000 0.0000 0.5000
H1 0.0000 0.5000 0.2500

---

17.
# ZnInH3 (PBE-GGA, optimized geometry)
# magnetic moment	0.000	μB/atom
# calculated volume	11.408	Å³/atom
# E above lowest polymorph	0	meV/atom
data_ZnInH3
_chemical_formula_sum 'Zn1 In1 H3'
_space_group_name_H-M_alt 'P m -3 m'
_space_group_IT_number 221
_space_group_name_Hall '-P 4 2 3'
_cell_length_a 3.8494
_cell_length_b 3.8494
_cell_length_c 3.8494
_cell_angle_alpha 90.00
_cell_angle_beta 90.00
_cell_angle_gamma 90.00
loop_
_atom_site_label
_atom_site_fract_x
_atom_site_fract_y
_atom_site_fract_z
Zn1 0.0000 0.0000 0.0000
In1 0.5000 0.5000 0.5000
H1 0.0000 0.0000 0.5000

---

18.
# ZnInH2 (PBE-GGA, optimized geometry)
# magnetic moment	0.000	μB/atom
# calculated volume	14.559	Å³/atom
# E above lowest polymorph	0	meV/atom
data_ZnInH2
_chemical_formula_sum 'Zn4 In4 H8'
_space_group_name_H-M_alt 'I -4 2 d'
_space_group_IT_number 122
_space_group_name_Hall 'I -4 2bw'
_cell_length_a 4.9410
_cell_length_b 4.9410
_cell_length_c 9.5419
_cell_angle_alpha 90.00
_cell_angle_beta 90.00
_cell_angle_gamma 90.00
loop_
_atom_site_label
_atom_site_fract_x
_atom_site_fract_y
_atom_site_fract_z
Zn1 0.0000 0.0000 0.0000
In1 0.0000 0.0000 0.5000
H1 0.0522 0.2500 0.1250

---

19.
# Zn2InH2 (PBE-GGA, optimized geometry)
# magnetic moment	0.000	μB/atom
# calculated volume	13.652	Å³/atom
# E above lowest polymorph	198	meV/atom
data_Zn2InH2
_chemical_formula_sum 'Zn4 In2 H4'
_space_group_name_H-M_alt 'P 4/m b m'
_space_group_IT_number 127
_space_group_name_Hall '-P 4 2ab'
_cell_length_a 7.0829
_cell_length_b 7.0829
_cell_length_c 2.7213
_cell_angle_alpha 90.00
_cell_angle_beta 90.00
_cell_angle_gamma 90.00
loop_
_atom_site_label
_atom_site_fract_x
_atom_site_fract_y
_atom_site_fract_z
Zn1 0.1267 0.3733 0.0000
In1 0.0000 0.0000 0.5000
H1 0.1106 0.6106 0.5000

---

20.
# Zr2ZnInH (PBE-GGA, optimized geometry)
# magnetic moment	0.000	μB/atom
# calculated volume	16.666	Å³/atom
# E above lowest polymorph	0	meV/atom
data_Zr2ZnInH
_chemical_formula_sum 'Zr2 Zn1 In1 H1'
_space_group_name_H-M_alt 'P 4/m m m'
_space_group_IT_number 123
_space_group_name_Hall '-P 4 2'
_cell_length_a 4.3611
_cell_length_b 4.3611
_cell_length_c 4.3814
_cell_angle_alpha 90.00
_cell_angle_beta 90.00
_cell_angle_gamma 90.00
loop_
_atom_site_label
_atom_site_fract_x
_atom_site_fract_y
_atom_site_fract_z
Zr1 0.0000 0.5000 0.0000
Zn1 0.0000 0.0000 0.5000
In1 0.5000 0.5000 0.5000
H1 0.0000 0.0000 0.0000